# 1
The following is a DFT calculation (PBE) of a geometry-optimized NaMg2Tc structure.

Structure (POSCAR):
```
NaMg2Tc
1.0
3.802 -1.107 2.727
2.512 3.489 2.153
-0.229 0.533 4.773
Mg Na Tc
2 1 1
Direct
0.250 0.250 0.250
0.750 0.750 0.750
0.000 0.000 0.000
0.500 0.500 0.500
```

Output
**Formation energy**: 0.52 eV per atom
**Magnetic moment**: 1.6 μB per formula unit
**ΔE to the lowest computed polymorph**: 0 meV/atom

# 2
The following is a DFT calculation (PBE) of a geometry-optimized NaMgTc2W structure.

Structure (POSCAR):
```
NaMgTc2W
1.0
-1.510 3.727 -2.543
-4.848 -2.181 -0.317
-1.263 2.225 4.012
W Mg Tc Na
1 1 2 1
Direct
0.000 0.000 0.000
0.000 0.500 0.000
0.000 0.000 0.500
0.500 0.000 0.000
0.500 0.500 0.500
```

Output
**Formation energy**: 1.30 eV per atom
**Magnetic moment**: 2.4 μB per formula unit

# 3
The following is a DFT calculation (PBE) of a geometry-optimized Na2MgTe2 structure.

Structure (POSCAR):
```
Na2MgTe2
1.0
6.751 0.000 0.000
0.000 7.579 0.000
-3.376 -3.790 6.222
Te Mg Na
4 2 4
Direct
0.118 0.844 0.236
0.618 0.392 0.236
0.382 0.608 0.764
0.882 0.156 0.764
0.250 0.500 0.000
0.750 0.500 0.000
0.365 0.009 0.730
0.865 0.721 0.730
0.135 0.279 0.270
0.635 0.991 0.270
```

Output
**Formation energy from raw total energies**: -4.5 eV/f.u.
**Magnetic moment**: 0.0 μB per formula unit
**ΔE to the lowest computed polymorph**: 0 meV/atom

# 4
The following is a DFT calculation (PBE) of a geometry-optimized NaMg3Te structure.

Structure (POSCAR):
```
NaMg3Te
1.0
-5.262 -0.644 0.939
0.962 -0.140 5.296
-0.609 5.344 0.252
Mg Te Na
3 1 1
Direct
0.000 0.000 0.500
0.500 0.000 0.000
0.000 0.500 0.000
0.500 0.500 0.500
0.000 0.000 0.000
```

Output
**Formation energy from raw total energies**: 2.6 eV/f.u.
**Magnetic moment**: 0.0 μB per formula unit
**ΔE to the lowest computed polymorph**: 279 meV/atom

# 5
The following is a DFT calculation (PBE) of a geometry-optimized Na2Mg2Te3 structure.

Structure (POSCAR):
```
Na2Mg2Te3
1.0
-0.590 7.047 3.759
-7.274 -0.699 8.749
7.712 0.765 8.359
Na Mg Te
8 8 12
Direct
0.750 0.570 0.430
0.750 0.277 0.723
0.055 0.978 0.813
0.945 0.022 0.187
0.250 0.430 0.570
0.445 0.187 0.022
0.250 0.723 0.277
0.555 0.813 0.978
0.107 0.553 0.078
0.375 0.631 0.788
0.393 0.922 0.447
0.625 0.369 0.212
0.125 0.212 0.369
0.607 0.078 0.553
0.893 0.447 0.922
0.875 0.788 0.631
0.215 0.146 0.593
0.175 0.778 0.003
0.785 0.854 0.407
0.224 0.433 0.283
0.325 0.997 0.222
0.825 0.222 0.997
0.776 0.567 0.717
0.675 0.003 0.778
0.715 0.593 0.146
0.285 0.407 0.854
0.724 0.283 0.433
0.276 0.717 0.567
```

Output
**Formation energy from raw total energies**: -6.4 eV/f.u.
**Magnetic moment**: 0.0 μB per formula unit

# 6
The following is a DFT calculation (PBE) of a geometry-optimized NaMg3Te structure.

Structure (POSCAR):
```
NaMg3Te
1.0
-4.809 -1.528 -2.656
1.029 -5.461 1.278
-2.886 0.598 4.881
Mg Na Te
3 1 1
Direct
0.500 0.000 0.000
0.000 0.500 0.000
0.000 0.000 0.500
0.500 0.500 0.500
0.000 0.000 0.000
```

Output
**Formation energy from raw total energies**: 1.2 eV/f.u.
**Magnetic moment**: 0.0 μB per formula unit
**ΔE to the lowest computed polymorph**: 0 meV/atom

# 7
The following is a DFT calculation (PBE) of a geometry-optimized Na3MgTe2 structure.

Structure (POSCAR):
```
Na3MgTe2
1.0
-4.246 5.637 -1.843
-3.879 -4.159 -3.784
-0.465 -2.131 8.987
Te Mg Na
4 2 6
Direct
0.670 0.889 0.777
0.107 0.389 0.777
0.330 0.111 0.223
0.893 0.611 0.223
0.000 0.250 0.000
0.000 0.750 0.000
0.979 0.185 0.371
0.500 0.750 0.000
0.021 0.815 0.629
0.609 0.315 0.629
0.391 0.685 0.371
0.500 0.250 0.000
```

Output
**Formation energy from raw total energies**: -3.9 eV/f.u.
**Magnetic moment**: 0.0 μB per formula unit

# 8
The following is a DFT calculation (PBE) of a geometry-optimized Na2MgTe2 structure.

Structure (POSCAR):
```
Na2MgTe2
1.0
8.074 0.000 0.000
0.000 8.074 0.000
0.000 0.000 4.564
Na Mg Te
4 2 4
Direct
0.366 0.134 0.500
0.866 0.366 0.500
0.134 0.634 0.500
0.634 0.866 0.500
0.500 0.500 0.000
0.000 0.000 0.000
0.180 0.320 0.000
0.320 0.820 0.000
0.820 0.680 0.000
0.680 0.180 0.000
```

Output
**Formation energy from raw total energies**: -3.5 eV/f.u.
**Magnetic moment**: 0.0 μB per formula unit
**ΔE to the lowest computed polymorph**: 205 meV/atom

# 9
The following is a DFT calculation (PBE) of a geometry-optimized Na14Mg2Te9 structure.

Structure (POSCAR):
```
Na14Mg2Te9
1.0
-1.042 -5.698 -6.755
8.016 3.468 1.699
2.497 -9.518 7.643
Te Na Mg
9 14 2
Direct
0.353 0.306 0.663
0.694 0.047 0.663
0.000 0.000 0.000
0.047 0.353 0.337
0.667 0.333 0.970
0.333 0.667 0.030
0.953 0.647 0.663
0.306 0.953 0.337
0.647 0.694 0.337
0.350 0.024 0.090
0.000 0.000 0.251
0.681 0.051 0.408
0.976 0.326 0.090
0.370 0.319 0.408
0.949 0.630 0.408
0.024 0.674 0.910
0.674 0.650 0.090
0.000 0.000 0.749
0.630 0.681 0.592
0.051 0.370 0.592
0.319 0.949 0.592
0.650 0.976 0.910
0.326 0.350 0.910
0.333 0.667 0.259
0.667 0.333 0.741
```

Output
**Formation energy from raw total energies**: -23.2 eV/f.u.
**Magnetic moment**: 0.0 μB per formula unit

# 10
The following is a DFT calculation (PBE) of a geometry-optimized Na3MgTe structure.

Structure (POSCAR):
```
Na3MgTe
1.0
-2.682 -1.183 -4.876
-0.886 -5.330 1.781
-4.938 1.599 2.329
Mg Na Te
1 3 1
Direct
0.000 0.000 0.000
0.000 0.000 0.500
0.500 0.000 0.000
0.000 0.500 0.000
0.500 0.500 0.500
```

Output
**Formation energy from raw total energies**: 0.8 eV/f.u.
**Magnetic moment**: 0.0 μB per formula unit
**ΔE to the lowest computed polymorph**: 389 meV/atom

# 11
The following is a DFT calculation (PBE) of a geometry-optimized Na5Mg2Te5 structure.

Structure (POSCAR):
```
Na5Mg2Te5
1.0
0.413 6.930 -1.627
-3.510 5.152 5.428
6.658 3.952 2.896
Te Na Mg
5 5 2
Direct
0.294 0.705 0.705
0.704 0.295 0.295
0.999 0.295 0.705
0.459 0.000 0.000
0.999 0.705 0.295
0.130 0.000 0.405
0.130 0.405 0.000
0.535 0.595 0.000
0.912 0.000 0.000
0.535 0.000 0.595
0.748 0.500 0.500
0.248 0.500 0.500
```

Output
**Formation energy from raw total energies**: -9.7 eV/f.u.
**Magnetic moment**: 0.9 μB per formula unit

# 12
The following is a DFT calculation (PBE) of a geometry-optimized Na3MgTe structure.

Structure (POSCAR):
```
Na3MgTe
1.0
5.941 0.000 0.000
0.000 5.941 0.000
0.000 0.000 5.941
Na Mg Te
3 1 1
Direct
0.000 0.000 0.500
0.000 0.500 0.000
0.500 0.000 0.000
0.500 0.500 0.500
0.000 0.000 0.000
```

Output
**Formation energy from raw total energies**: -1.1 eV/f.u.
**Magnetic moment**: 0.0 μB per formula unit
**ΔE to the lowest computed polymorph**: 0 meV/atom

Record order is preserved below.
E_tot: -3.20; -6.02; -3.01; -1.33; -3.09; -1.60; -2.63; -2.80; -2.92; -1.58; -2.93; -1.97 eV/atom